An optimized crystal structure of PrNd2Sm, computed with PBE.

Its final energy is -0.1699 hartree per atom. The value obtained for the calculated formation energy is 0.54 eV/f.u. For the size of the total moment, the calculation gives 0.010 μB per cell. As for the energy above the most stable polymorph in this dataset: 122 meV per atom.

The space group is Fm-3m (No. 225) and the conventional cell measures 8.257, 8.257 and 8.257 Å, with angles of 90.00, 90.00 and 90.00 degrees. The distinct sites, in fractional coordinates, are Pr at (0.000, 0.000, 0.000), Nd at (0.250, 0.250, 0.250) and Sm at (0.000, 0.000, 0.500).